Dy2CoPdC | PBE | optimized geometry

Cell: 4.973 4.973 3.598 Å, 90.00 90.00 90.00°
Space group P4/mmm (No. 123)
Asymmetric unit:
Dy: 0.000 0.500 0.000 (multiplicity 2)
Co: 0.000 0.000 0.500 (multiplicity 1)
Pd: 0.500 0.500 0.500 (multiplicity 1)
C: 0.000 0.000 0.000 (multiplicity 1)

Calculated values
Size of the total moment (μB/f.u.): 0.0
Energy relative to the elements (eV/atom): -0.559



Co2TcP | PBE | optimized geometry

Cell: 2.959 4.038 7.906 Å, 90.00 90.00 90.00°
Space group Imm2 (No. 44)
Asymmetric unit:
Co: 0.000 0.000 0.000 (multiplicity 2)
Co: 0.000 0.500 0.217 (multiplicity 2)
Tc: 0.000 0.000 0.435 (multiplicity 2)
P: 0.000 0.500 0.699 (multiplicity 2)

Calculated values
Size of the total moment (μB/f.u.): 1.5
Energy relative to the elements (eV/atom): -0.130



Tb4PmTm5 | PBE | optimized geometry

Cell: 10.179 10.179 6.228 Å, 90.00 90.00 90.00°
Space group I4 (No. 79)
Asymmetric unit:
Tb: 0.050 0.650 0.000 (multiplicity 8)
Pm: 0.000 0.000 0.769 (multiplicity 2)
Tm: 0.000 0.000 0.229 (multiplicity 2)
Tm: 0.145 0.767 0.496 (multiplicity 8)

Calculated values
Size of the total moment (μB/f.u.): 0.0
Energy relative to the elements (eV/atom): 0.304



CaDy2N | PBE | optimized geometry

Cell: 3.5150 3.5150 28.4061 Å, 90.00 90.00 120.00°
Space group R-3m (No. 166, hexagonal axes)
Asymmetric unit:
Ca: 0.0000 0.0000 0.0000 (multiplicity 3)
Dy: 0.0000 0.0000 0.1203 (multiplicity 6)
N: 0.0000 0.0000 0.5000 (multiplicity 3)

Calculated values
Size of the total moment (μB/f.u.): 0.6
E_form (uncorrected) (kJ/mol of atoms): -64.8



Pa4Sb2C | PBE | optimized geometry

Cell: 7.179 6.377 7.861 Å, 90.00 105.50 90.00°
Space group P2_1/m (No. 11)
Asymmetric unit:
Pa: 0.018 0.028 0.256 (multiplicity 4)
Pa: 0.360 0.250 0.090 (multiplicity 2)
Pa: 0.370 0.250 0.596 (multiplicity 2)
Sb: 0.278 0.750 0.067 (multiplicity 2)
Sb: 0.281 0.750 0.570 (multiplicity 2)
C: 0.193 0.250 0.800 (multiplicity 2)

Calculated values
Size of the total moment (μB/f.u.): 0.0
E_form (uncorrected) (kJ/mol of atoms): -28.2



AcZnGa2Ag | PBE | optimized geometry

Cell: 4.535 4.535 10.656 Å, 90.00 90.00 90.00°
Space group I-4m2 (No. 119)
Asymmetric unit:
Ac: 0.000 0.000 0.000 (multiplicity 2)
Zn: 0.000 0.500 0.250 (multiplicity 2)
Ga: 0.000 0.000 0.381 (multiplicity 4)
Ag: 0.000 0.500 0.750 (multiplicity 2)

Calculated values
Size of the total moment (μB/f.u.): 0.0
Energy relative to the elements (eV/atom): -0.436



SnAsIN2 | PBE | optimized geometry

Cell: 4.161 4.161 5.768 Å, 90.00 90.00 90.00°
Space group P4/mmm (No. 123)
Asymmetric unit:
Sn: 0.000 0.000 0.000 (multiplicity 1)
As: 0.500 0.500 0.500 (multiplicity 1)
I: 0.500 0.500 0.000 (multiplicity 1)
N: 0.000 0.500 0.500 (multiplicity 2)

Calculated values
Size of the total moment (μB/f.u.): 0.0
E_form (uncorrected) (kJ/mol of atoms): 139.2



TmU2O7 | PBE | optimized geometry

Cell: 3.8208 3.8208 30.3952 Å, 90.00 90.00 120.00°
Space group R-3m (No. 166, hexagonal axes)
Asymmetric unit:
Tm: 0.0000 0.0000 0.0000 (multiplicity 3)
U: 0.0000 0.0000 0.4316 (multiplicity 6)
O: 0.0000 0.0000 0.0758 (multiplicity 6)
O: 0.0000 0.0000 0.2205 (multiplicity 6)
O: 0.0000 0.0000 0.3609 (multiplicity 6)
O: 0.0000 0.0000 0.5000 (multiplicity 3)

Calculated values
Size of the total moment (μB/f.u.): 1.0
E_form (uncorrected) (kJ/mol of atoms): -318.0



PbS2I | PBE | optimized geometry

Cell: 7.298 7.298 7.298 Å, 90.00 90.00 90.00°
Space group Fm-3m (No. 225)
Asymmetric unit:
Pb: 0.000 0.000 0.000 (multiplicity 4)
S: 0.250 0.250 0.250 (multiplicity 8)
I: 0.000 0.000 0.500 (multiplicity 4)

Calculated values
Size of the total moment (μB/f.u.): 0.0
E_form (uncorrected) (kJ/mol of atoms): 39.2



TlSn4S5 | PBE | optimized geometry

Cell: 13.819 4.098 10.290 Å, 90.00 120.09 90.00°
Space group C2/m (No. 12)
Asymmetric unit:
Tl: 0.000 0.000 0.000 (multiplicity 2)
Sn: 0.103 0.500 0.405 (multiplicity 4)
Sn: 0.201 0.000 0.802 (multiplicity 4)
S: 0.000 0.000 0.500 (multiplicity 2)
S: 0.113 0.500 0.891 (multiplicity 4)
S: 0.203 0.000 0.320 (multiplicity 4)

Calculated values
Size of the total moment (μB/f.u.): 0.0
E_form (uncorrected) (kJ/mol of atoms): -37.6



CsSeBr3 | PBE | optimized geometry

Cell: 7.559 7.559 15.376 Å, 90.00 90.00 90.00°
Space group I-4m2 (No. 119)
Asymmetric unit:
Cs: 0.000 0.000 0.176 (multiplicity 4)
Se: 0.000 0.000 0.500 (multiplicity 2)
Se: 0.000 0.500 0.250 (multiplicity 2)
Br: 0.000 0.253 0.382 (multiplicity 8)
Br: 0.000 0.500 0.656 (multiplicity 4)

Calculated values
Size of the total moment (μB/f.u.): 0.5
E_form (uncorrected) (kJ/mol of atoms): -57.2



What is the size of the total moment in the ninth record?
0.0 μB/f.u.



What is the size of the total moment in the seventh record?
0.0 μB/f.u.



What is the size of the total moment in the fifth record?
0.0 μB/f.u.



Number 9 is which compound?
PbS2I